# Y8PtAu2

A relaxed structure of Y8PtAu2 (GGA-PBE, Alexandria via LeMat-Bulk).

Results
Spin magnetization, μB per atom: 0.00
Energy relative to the elements, eV/atom: -0.436
N(E_F), states/eV per atom: 1.363

a b c (Å): 5.919 8.089 8.089
angles (deg): 117.56 101.87 101.87
Fractional coordinates of all 11 atoms:
Y  0.598  0.347  0.104
Y  0.598  0.104  0.347
Y  0.184  0.364  0.364
Y  0.986  0.196  0.803
Y  0.986  0.803  0.196
Y  0.788  0.642  0.642
Y  0.350  0.900  0.654
Y  0.350  0.654  0.900
Pt  0.161  0.003  0.003
Au  0.500  0.713  0.308
Au  0.500  0.308  0.713

# Y2PtAu

A relaxed structure of Y2PtAu (GGA-PBE, Alexandria via LeMat-Bulk).

Results
Spin magnetization, μB per atom: 0.00
Energy relative to the elements, eV/atom: -0.795
N(E_F), states/eV per atom: 0.707

a b c (Å): 5.768 5.768 5.768
angles (deg): 137.05 137.05 62.36
Fractional coordinates of all 4 atoms:
Au  0.500  0.500  0.000
Pt  0.750  0.250  0.500
Y  0.000  0.000  0.000
Y  0.250  0.750  0.500

# Y2PtAu

A relaxed structure of Y2PtAu (GGA-PBE, Alexandria via LeMat-Bulk).

Results
Spin magnetization, μB per atom: 0.00
Energy relative to the elements, eV/atom: -0.967
N(E_F), states/eV per atom: 0.434

a b c (Å): 4.119 4.119 7.274
angles (deg): 73.54 73.54 60.13
Fractional coordinates of all 4 atoms:
Au  0.750  0.750  0.750
Pt  0.250  0.250  0.250
Y  0.994  0.994  0.018
Y  0.506  0.506  0.482

# Y2PtAu

A relaxed structure of Y2PtAu (GGA-PBE, Alexandria via LeMat-Bulk).

Results
Spin magnetization, μB per atom: 0.00
Energy relative to the elements, eV/atom: -0.628
N(E_F), states/eV per atom: 0.576

a b c (Å): 7.531 7.531 6.503
angles (deg): 54.62 54.62 90.00
Fractional coordinates of all 8 atoms:
Y  0.611  0.125  0.250
Y  0.139  0.625  0.250
Y  0.375  0.389  0.750
Y  0.875  0.861  0.750
Au  0.000  0.000  0.000
Au  0.750  0.250  0.500
Pt  0.500  0.500  0.000
Pt  0.250  0.750  0.500

# Y5Pt2Au

A relaxed structure of Y5Pt2Au (GGA-PBE, Alexandria via LeMat-Bulk).

Results
Spin magnetization, μB per atom: 0.00
Energy relative to the elements, eV/atom: -0.904
N(E_F), states/eV per atom: 1.012

a b c (Å): 7.787 7.787 8.616
angles (deg): 116.86 116.86 90.00
Fractional coordinates of all 16 atoms:
Y  0.521  0.697  0.718
Y  0.803  0.979  0.282
Y  0.000  0.000  0.000
Y  0.500  0.500  0.000
Y  0.197  0.021  0.718
Y  0.697  0.197  0.718
Y  0.021  0.521  0.718
Y  0.303  0.803  0.282
Y  0.979  0.479  0.282
Y  0.479  0.303  0.282
Pt  0.135  0.365  0.000
Pt  0.635  0.135  0.000
Pt  0.365  0.865  0.000
Pt  0.865  0.635  0.000
Au  0.750  0.750  0.500
Au  0.250  0.250  0.500

# Y8Pt2Au

A relaxed structure of Y8Pt2Au (GGA-PBE, Alexandria via LeMat-Bulk).

Results
Spin magnetization, μB per atom: 0.00
Energy relative to the elements, eV/atom: -0.537
N(E_F), states/eV per atom: 1.366

a b c (Å): 5.761 7.828 7.828
angles (deg): 113.76 99.21 99.21
Fractional coordinates of all 11 atoms:
Y  0.580  0.339  0.083
Y  0.580  0.083  0.339
Y  0.175  0.375  0.375
Y  0.991  0.229  0.774
Y  0.991  0.774  0.229
Y  0.806  0.632  0.632
Y  0.390  0.924  0.668
Y  0.390  0.668  0.924
Pt  0.492  0.698  0.310
Pt  0.492  0.310  0.698
Au  0.113  0.002  0.002

# YZnPt2Au

A relaxed structure of YZnPt2Au (GGA-PBE, Alexandria via LeMat-Bulk).

Results
Spin magnetization, μB per atom: 0.00
Energy relative to the elements, eV/atom: 0.793
N(E_F), states/eV per atom: 0.936

a b c (Å): 5.144 5.418 5.144
angles (deg): 90.00 90.00 90.00
Fractional coordinates of all 5 atoms:
Y  0.000  0.000  0.000
Zn  0.500  0.500  0.500
Au  0.000  0.500  0.000
Pt  0.000  0.000  0.500
Pt  0.500  0.000  0.000

# Yb2PtAu

A relaxed structure of Yb2PtAu (GGA-PBE, Alexandria via LeMat-Bulk).

Results
Spin magnetization, μB per atom: 0.00
Energy relative to the elements, eV/atom: -1.053
N(E_F), states/eV per atom: 0.548

a b c (Å): 4.948 4.952 4.951
angles (deg): 59.97 60.02 60.02
Fractional coordinates of all 4 atoms:
Yb  0.000  0.000  0.000
Yb  0.500  0.500  0.500
Au  0.250  0.250  0.250
Pt  0.750  0.750  0.750

# Yb4Pt3Au

A relaxed structure of Yb4Pt3Au (GGA-PBE, Alexandria via LeMat-Bulk).

Results
Spin magnetization, μB per atom: 0.14
Energy relative to the elements, eV/atom: -1.023
N(E_F), states/eV per atom: 7.631

a b c (Å): 4.439 5.706 7.281
angles (deg): 89.93 90.00 90.00
Fractional coordinates of all 8 atoms:
Yb  0.500  0.641  0.686
Yb  0.500  0.859  0.178
Yb  0.000  0.368  0.310
Yb  0.000  0.134  0.829
Pt  0.500  0.349  0.038
Pt  0.000  0.852  0.461
Pt  0.000  0.646  0.958
Au  0.500  0.150  0.539

# ZnPt2Au

A relaxed structure of ZnPt2Au (GGA-PBE, Alexandria via LeMat-Bulk).

Results
Spin magnetization, μB per atom: 0.00
Energy relative to the elements, eV/atom: -0.180
N(E_F), states/eV per atom: 0.645

a b c (Å): 9.141 9.141 9.141
angles (deg): 17.94 17.94 17.94
Fractional coordinates of all 4 atoms:
Au  0.754  0.754  0.754
Pt  0.999  0.999  0.999
Pt  0.245  0.245  0.245
Zn  0.503  0.503  0.503

# Zn4PtAu2

A relaxed structure of Zn4PtAu2 (GGA-PBE, Alexandria via LeMat-Bulk).

Results
Spin magnetization, μB per atom: 0.00
Energy relative to the elements, eV/atom: -0.229
Energy relative to the lowest polymorph listed for this composition, meV/atom: 38
N(E_F), states/eV per atom: 0.276

a b c (Å): 6.713 6.713 6.713
angles (deg): 108.81 110.80 108.81
Fractional coordinates of all 14 atoms:
Zn  0.110  0.905  0.363
Zn  0.637  0.747  0.542
Zn  0.955  0.595  0.708
Zn  0.292  0.247  0.887
Zn  0.640  0.753  0.045
Zn  0.795  0.253  0.890
Zn  0.458  0.095  0.205
Zn  0.113  0.405  0.360
Pt  0.000  0.000  0.000
Pt  0.750  0.500  0.250
Au  0.875  0.137  0.512
Au  0.488  0.363  0.625
Au  0.375  0.863  0.738
Au  0.262  0.637  0.125

# ZnPt2Au

A relaxed structure of ZnPt2Au (GGA-PBE, Alexandria via LeMat-Bulk).

Results
Spin magnetization, μB per atom: 0.00
Energy relative to the elements, eV/atom: -0.148
N(E_F), states/eV per atom: 0.834

a b c (Å): 4.490 4.490 4.491
angles (deg): 60.01 60.01 60.00
Fractional coordinates of all 4 atoms:
Zn  0.750  0.750  0.750
Pt  0.000  0.000  0.000
Pt  0.250  0.250  0.250
Au  0.500  0.500  0.500

# ZnPt2Au

A relaxed structure of ZnPt2Au (GGA-PBE, Alexandria via LeMat-Bulk).

Results
Spin magnetization, μB per atom: 0.00
Energy relative to the elements, eV/atom: -0.233
N(E_F), states/eV per atom: 0.473

a b c (Å): 4.802 4.802 4.802
angles (deg): 129.98 129.98 73.44
Fractional coordinates of all 4 atoms:
Zn  0.250  0.750  0.500
Au  0.750  0.250  0.500
Pt  0.000  0.000  0.000
Pt  0.500  0.500  0.000